Record 1
SmGd2Y: relaxed, PBE.

a b c (Å): 3.5908 3.5908 10.1636
angles (deg): 90.00 90.00 90.00
Closest atoms and distances in Å follow each position.
Positions (direct):
Gd1 0.0000 0.0000 0.2506  4 Y 3.59, 4 Gd 3.59, 4 Sm 3.60
Gd2 0.0000 0.0000 0.7494  4 Y 3.59, 4 Gd 3.59, 4 Sm 3.60
Sm1 0.5000 0.5000 0.0000  4 Sm 3.59, 8 Gd 3.60
Y1 0.5000 0.5000 0.5000  8 Gd 3.59, 4 Y 3.59

Values from the calculation:
space-group type: P4/mmm
final energy: -9.8103 eV per atom

***

Record 2
SrRePb: relaxed, PBE.

a b c (Å): 4.9183 4.9183 4.9183
angles (deg): 60.00 60.00 60.00
Closest atoms and distances in Å follow each position.
Positions (direct):
Re1 0.7500 0.7500 0.7500  4 Pb 3.01, 4 Sr 3.01
Pb1 0.5000 0.5000 0.5000  4 Re 3.01
Sr1 0.0000 0.0000 0.0000  4 Re 3.01

Values from the calculation:
space-group type: F-43m
final energy: -4.9046 eV per atom

***

Record 3
Si2BP: relaxed, PBE.

a b c (Å): 4.0966 4.0966 4.0966
angles (deg): 60.00 60.00 60.00
Closest atoms and distances in Å follow each position.
Positions (direct):
Si1 0.7500 0.7500 0.7500  4 B 2.51, 4 P 2.51
Si2 0.2500 0.2500 0.2500  4 B 2.51, 4 P 2.51
P1 0.5000 0.5000 0.5000  8 Si 2.51
B1 0.0000 0.0000 0.0000  8 Si 2.51

Values from the calculation:
energy relative to the elements, uncorrected: 370.8 kJ/mol of formula units
space-group type: Fm-3m
final energy: -4.7725 eV per atom

***

Respective ΔE to the lowest computed polymorph values: 0.0018 0.3327 1.1243 eV per atom.
Respective mass density values: 7.0 9.5 3.3 Mg/m³.
Respective D(E_F) values: 7.37 5.29 1.95 states/eV/f.u..